[1]
A plane-wave DFT calculation with GGA-PBEsol was carried out for crystalline ScCuPdW2 at its relaxed geometry.

Summary:
As for the magnetization: 0.0 Bohr magnetons per cell. The value obtained for the total DFT energy (no corrections) is -7.65 eV per atom. The value obtained for the formation energy is 1.252 eV per atom.

Structure (extended XYZ):
```
5
Lattice="4.477 0.000 0.000 0.000 4.477 0.000 0.000 0.000 4.562" Properties=species:S:1:pos:R:3 pbc="T T T"
Sc 0.000 0.000 0.000
Cu 2.238 2.238 2.281
Pd 2.238 2.238 0.000
W 0.000 2.238 2.281
W 2.238 0.000 2.281
```

=====

[2]
A plane-wave DFT calculation with GGA-PBEsol was carried out for crystalline Cr2WSe at its relaxed geometry.

Summary:
For the energy relative to the elements, uncorrected, the calculation gives 0.426 eV/atom. As for the magnetization: 0.0 Bohr magnetons per cell. The value obtained for the total DFT energy (no corrections) is -9.11 eV per atom.

Structure (extended XYZ):
```
4
Lattice="1.442 0.833 7.717 -1.442 0.833 7.717 0.000 -1.665 7.717" Properties=species:S:1:pos:R:3 pbc="T T T"
Cr 0.000 0.000 0.000
Cr 0.000 0.000 6.136
W 0.000 0.000 11.725
Se 0.000 0.000 17.437
```

=====

[3]
A plane-wave DFT calculation with GGA-PBEsol was carried out for crystalline Li2CuAu at its relaxed geometry.

Summary:
As for the magnetization: 0.0 Bohr magnetons per cell. The value obtained for the total DFT energy (no corrections) is -3.34 eV per atom. The value obtained for the formation energy is -0.296 eV per atom.

Structure (extended XYZ):
```
4
Lattice="-1.945 1.945 3.581 1.945 -1.945 3.581 1.945 1.945 -3.581" Properties=species:S:1:pos:R:3 pbc="T T T"
Li 0.000 0.000 0.000
Li 0.000 1.945 1.791
Cu 0.000 0.000 3.581
Au 1.945 0.000 1.791
```